Entry 1:
Density functional theory data (PBE) for a relaxed structure of AcTlZn.

Values from the calculation:
raw total energy	-2.861	eV per atom
offset from the most stable computed form	0	meV/atom
space group	No. 216

a b c (Å): 5.0551 5.0551 5.0551
angles (deg): 60.00 60.00 60.00
Positions (direct):
1 Tl 0.7500 0.7500 0.7500
2 Ac 0.2500 0.2500 0.2500
3 Zn 0.0000 0.0000 0.0000

***

Entry 2:
Density functional theory data (PBE) for a relaxed structure of AcZrTl.

Values from the calculation:
raw total energy	-4.645	eV per atom
offset from the most stable computed form	0	meV/atom
space group	No. 216

a b c (Å): 5.2637 5.2637 5.2637
angles (deg): 60.00 60.00 60.00
Positions (direct):
1 Tl 0.0000 0.0000 0.0000
2 Ac 0.2500 0.2500 0.2500
3 Zr 0.7500 0.7500 0.7500

***

Entry 3:
Density functional theory data (PBE) for a relaxed structure of AcZrTl.

Values from the calculation:
raw total energy	-4.111	eV per atom
offset from the most stable computed form	534	meV/atom
space group	No. 216

a b c (Å): 5.3671 5.3671 5.3671
angles (deg): 60.00 60.00 60.00
Positions (direct):
1 Zr 0.7500 0.7500 0.7500
2 Ac 0.0000 0.0000 0.0000
3 Tl 0.2500 0.2500 0.2500

***

Which of these has the highest raw total energy?
AcTlZn